(1)
First-principles (GGA-PBE) data for an optimized crystal structure of TaBeCu2, as listed in Alexandria.

Structure (CIF):
```
data_TaBeCu2
_cell_length_a 2.803
_cell_length_b 2.803
_cell_length_c 6.410
_cell_angle_alpha 90.00
_cell_angle_beta 90.00
_cell_angle_gamma 90.00
_symmetry_space_group_name_H-M 'P 4 m m'
_symmetry_Int_Tables_number 99
loop_
_symmetry_equiv_pos_as_xyz
'x,y,z'
'-y,x,z'
'-x,-y,z'
'y,-x,z'
'-x,y,z'
'y,x,z'
'x,-y,z'
'-y,-x,z'
loop_
_atom_site_label
_atom_site_type_symbol
_atom_site_fract_x
_atom_site_fract_y
_atom_site_fract_z
Ta1 Ta 0.000 0.000 0.000
Be1 Be 0.500 0.500 0.268
Cu1 Cu 0.000 0.000 0.455
Cu2 Cu 0.500 0.500 0.703
```

=====

(2)
First-principles (GGA-PBE) data for an optimized crystal structure of CsKP, as listed in Alexandria.

Structure (CIF):
```
data_CsKP
_cell_length_a 5.455
_cell_length_b 5.460
_cell_length_c 11.607
_cell_angle_alpha 89.10
_cell_angle_beta 89.94
_cell_angle_gamma 60.03
_symmetry_space_group_name_H-M 'P -1'
_symmetry_Int_Tables_number 2
loop_
_symmetry_equiv_pos_as_xyz
'x,y,z'
'-x,-y,-z'
loop_
_atom_site_label
_atom_site_type_symbol
_atom_site_fract_x
_atom_site_fract_y
_atom_site_fract_z
Cs1 Cs 0.161 0.180 0.210
K1 K 0.167 0.165 0.543
P1 P 0.498 0.504 0.403
```

Properties
Energy above the most stable polymorph in this dataset = 0.000 eV/atom

=====

(3)
First-principles (GGA-PBE) data for an optimized crystal structure of Ce3CoRu2, as listed in Alexandria.

Structure (CIF):
```
data_Ce3CoRu2
_cell_length_a 10.393
_cell_length_b 4.331
_cell_length_c 11.018
_cell_angle_alpha 90.00
_cell_angle_beta 90.00
_cell_angle_gamma 90.00
_symmetry_space_group_name_H-M 'P n m a'
_symmetry_Int_Tables_number 62
loop_
_symmetry_equiv_pos_as_xyz
'x,y,z'
'-x,-y,-z'
'-x+1/2,-y,z+1/2'
'x+1/2,y,-z+1/2'
'x+1/2,-y+1/2,-z+1/2'
'-x+1/2,y+1/2,z+1/2'
'-x,y+1/2,-z'
'x,-y+1/2,z'
loop_
_atom_site_label
_atom_site_type_symbol
_atom_site_fract_x
_atom_site_fract_y
_atom_site_fract_z
Ce1 Ce 0.062 0.250 0.109
Ce2 Ce 0.100 0.750 0.565
Ce3 Ce 0.218 0.250 0.808
Co1 Co 0.116 0.250 0.380
Ru1 Ru 0.006 0.750 0.260
Ru2 Ru 0.187 0.750 0.040
```

Properties
Energy above the most stable polymorph in this dataset = 0.000 eV/atom

=====

Number 1: ΔE_f 0.0004 eV/atom, total magnetic moment 0.00 Bohr magnetons per cell. Number 2: ΔE_f -0.2459 eV/atom, total magnetic moment 0.35 Bohr magnetons per cell. Number 3: ΔE_f -0.3143 eV/atom, total magnetic moment 0.00 Bohr magnetons per cell.